A plane-wave DFT calculation with PBE was carried out for a relaxed Ca3TmSn12 crystal.

Geometry as CIF:
```
data_Ca3TmSn12
_chemical_formula_sum 'Ca3 Tm1 Sn12'
_cell_length_a 4.7298
_cell_length_b 4.7298
_cell_length_c 19.0713
_cell_angle_alpha 90.00
_cell_angle_beta 90.00
_cell_angle_gamma 90.00
_space_group_name_H-M_alt 'P 4/m m m'
_space_group_IT_number 123
_space_group_name_Hall '-P 4 2'
loop_
_atom_site_label
_atom_site_fract_x
_atom_site_fract_y
_atom_site_fract_z
Ca1 0.0000 0.0000 0.0000
Ca2 0.0000 0.0000 0.2521
Tm1 0.0000 0.0000 0.5000
Sn1 0.0000 0.5000 0.1254
Sn2 0.0000 0.5000 0.3776
Sn3 0.5000 0.5000 0.0000
Sn4 0.5000 0.5000 0.2511
Sn5 0.5000 0.5000 0.5000
```

Summary:
mass density: 6.67 g/cm3
energy of formation: -36.7 kJ/mol of atoms
E: -4.037 eV per atom
total magnetic moment: 0.0 μB per formula unit